1.
A plane-wave DFT calculation with PBE-GGA was carried out for a geometry-optimized Ho2CuSi structure.

Lattice parameters (Å, degrees): 4.862 4.862 3.543 90.00 90.00 90.00
Space group P4/mmm (No. 123)
Unique sites:
Ho: 0.000 0.500 0.000 (multiplicity 2)
Cu: 0.000 0.000 0.500 (multiplicity 1)
Si: 0.500 0.500 0.500 (multiplicity 1)

M_tot ... 0.0 μB per cell
Formation energy without anion corrections ... -0.42 eV/atom

***

2.
A plane-wave DFT calculation with PBE-GGA was carried out for a geometry-optimized Pm3In5F12 structure.

Lattice parameters (Å, degrees): 14.856 14.856 14.856 90.00 90.00 90.00
Space group Ia-3d (No. 230)
Unique sites:
Pm: 0.000 0.250 0.125 (multiplicity 24)
In: 0.000 0.000 0.000 (multiplicity 16)
In: 0.000 0.250 0.375 (multiplicity 24)
F: 0.016 0.099 0.648 (multiplicity 96)

M_tot ... 2.4 μB per cell
Formation energy without anion corrections ... -2.54 eV/atom

***

3.
A plane-wave DFT calculation with PBE-GGA was carried out for a geometry-optimized NaCa4Pb5 structure.

Lattice parameters (Å, degrees): 3.903 3.903 19.823 90.00 90.00 90.00
Space group P4/mmm (No. 123)
Unique sites:
Na: 0.000 0.000 0.000 (multiplicity 1)
Ca: 0.000 0.000 0.194 (multiplicity 2)
Ca: 0.000 0.000 0.398 (multiplicity 2)
Pb: 0.500 0.500 0.092 (multiplicity 2)
Pb: 0.500 0.500 0.296 (multiplicity 2)
Pb: 0.500 0.500 0.500 (multiplicity 1)

ΔE_f ... -42.3 kJ/mol of atoms
M_tot ... 0.0 μB per cell

***

4.
A plane-wave DFT calculation with PBE-GGA was carried out for a geometry-optimized CaSc2CdCo structure.

Lattice parameters (Å, degrees): 4.802 4.802 5.175 90.00 90.00 90.00
Space group P4/mmm (No. 123)
Unique sites:
Ca: 0.000 0.000 0.000 (multiplicity 1)
Sc: 0.000 0.500 0.500 (multiplicity 2)
Cd: 0.500 0.500 0.000 (multiplicity 1)
Co: 0.500 0.500 0.500 (multiplicity 1)

ΔE_f ... -10.0 kJ/mol of atoms
M_tot ... 0.0 μB per cell

***

5.
A plane-wave DFT calculation with PBE-GGA was carried out for a geometry-optimized LaNdAlGe structure.

Lattice parameters (Å, degrees): 4.155 4.558 11.510 90.00 90.00 90.00
Space group Amm2 (No. 38)
Unique sites:
La: 0.000 0.000 0.000 (multiplicity 2)
Nd: 0.500 0.000 0.284 (multiplicity 2)
Al: 0.000 0.000 0.712 (multiplicity 2)
Ge: 0.500 0.000 0.571 (multiplicity 2)

ΔE_f ... -63.8 kJ/mol of atoms
M_tot ... 0.4 μB per cell

***

6.
A plane-wave DFT calculation with PBE-GGA was carried out for a geometry-optimized MnPbCl4 structure.

Lattice parameters (Å, degrees): 9.336 9.336 8.405 90.00 90.00 90.00
Space group I4_1/amd (No. 141, origin choice 2)
Unique sites:
Mn: 0.000 0.250 0.375 (multiplicity 4)
Pb: 0.000 0.250 0.875 (multiplicity 4)
Cl: 0.000 0.065 0.186 (multiplicity 16)

M_tot ... 20.0 μB per cell
Formation energy without anion corrections ... -1.10 eV/atom

***

7.
A plane-wave DFT calculation with PBE-GGA was carried out for a geometry-optimized Rb2YTaCl6 structure.

Lattice parameters (Å, degrees): 10.396 10.396 10.396 90.00 90.00 90.00
Space group Fm-3m (No. 225)
Unique sites:
Rb: 0.250 0.250 0.250 (multiplicity 8)
Y: 0.000 0.000 0.000 (multiplicity 4)
Ta: 0.000 0.000 0.500 (multiplicity 4)
Cl: 0.000 0.000 0.257 (multiplicity 24)

M_tot ... 8.0 μB per cell
Formation energy without anion corrections ... -1.44 eV/atom

***

8.
A plane-wave DFT calculation with PBE-GGA was carried out for a geometry-optimized TeSIN2 structure.

Lattice parameters (Å, degrees): 4.075 4.075 7.666 90.00 90.00 90.00
Space group P4/mmm (No. 123)
Unique sites:
Te: 0.000 0.000 0.000 (multiplicity 1)
S: 0.500 0.500 0.500 (multiplicity 1)
I: 0.500 0.500 0.000 (multiplicity 1)
N: 0.000 0.500 0.500 (multiplicity 2)

M_tot ... 2.4 μB per cell
Formation energy without anion corrections ... 1.89 eV/atom